Computed, not measured: an optimized crystal structure of KLi2Fe at the GGA-PBEsol level of DFT.

a b c (Å): 3.2973 3.2973 8.4899
angles (deg): 90.00 90.00 90.00
Last column: nearest neighbours and their distance in Å.
Space group P4mm (No. 99)
Asymmetric unit:
1 K 0.0000 0.0000 0.0000  4 K 3.30, 4 Fe 3.45, 1 Li 3.67
2 Li 0.0000 0.0000 0.5681  4 Fe 2.59, 4 Li 2.83
3 Li 0.5000 0.5000 0.3786  1 Fe 2.74, 4 Li 2.83
4 Fe 0.5000 0.5000 0.7008  5 Li 2.59-2.74

- Magnetic moment: 2.7 μB/f.u.
- Volume: 23.08 Å³ per atom
- ΔH_f (0 K): 655 meV/atom
- D(E_F): 2.3 states/eV/f.u.

=====

Computed, not measured: an optimized crystal structure of KLi2Fe at the GGA-PBEsol level of DFT.

a b c (Å): 6.2406 9.6134 2.7809
angles (deg): 90.00 90.00 90.00
Last column: nearest neighbours and their distance in Å.
Space group Cmmm (No. 65)
Asymmetric unit:
1 K 0.0000 0.0000 0.0000  2 K 2.78
2 Li 0.2500 0.2500 0.5000  2 Li 2.78
3 Fe 0.0000 0.5000 0.0000  2 Fe 2.78

- Magnetic moment: 2.5 μB/f.u.
- Volume: 20.85 Å³ per atom
- ΔH_f (0 K): 786 meV/atom
- D(E_F): 3.7 states/eV/f.u.

=====

Computed, not measured: an optimized crystal structure of KLi2Fe at the GGA-PBEsol level of DFT.

a b c (Å): 6.2900 9.8163 2.8004
angles (deg): 90.00 103.54 90.00
Last column: nearest neighbours and their distance in Å.
Space group C2/m (No. 12)
Asymmetric unit:
1 K 0.0000 0.0000 0.0000  2 K 2.80, 4 Li 3.07
2 Li 0.2500 0.2500 0.5000  2 Li 2.80, 2 K 3.07, 2 Fe 3.07
3 Fe 0.0000 0.5000 0.0000  2 Fe 2.80, 4 Li 3.07

- Magnetic moment: 2.5 μB/f.u.
- Volume: 21.01 Å³ per atom
- ΔH_f (0 K): 783 meV/atom
- D(E_F): 3.5 states/eV/f.u.

=====

Computed, not measured: an optimized crystal structure of KLi2Fe at the GGA-PBEsol level of DFT.

a b c (Å): 5.3952 5.3952 2.8254
angles (deg): 90.00 90.00 90.00
Last column: nearest neighbours and their distance in Å.
Space group P4/mmm (No. 123)
Asymmetric unit:
1 K 0.0000 0.0000 0.0000  2 K 2.83, 8 Li 3.05
2 Li 0.0000 0.5000 0.5000  2 Li 2.83, 4 K 3.05, 4 Fe 3.05
3 Fe 0.5000 0.5000 0.0000  2 Fe 2.83, 8 Li 3.05

- Magnetic moment: 2.5 μB/f.u.
- Volume: 20.56 Å³ per atom
- ΔH_f (0 K): 807 meV/atom
- D(E_F): 5.4 states/eV/f.u.

=====

Computed, not measured: an optimized crystal structure of K2LiFeO3 at the GGA-PBEsol level of DFT.

a b c (Å): 5.9628 10.4374 6.5448
angles (deg): 90.00 90.00 90.00
Last column: nearest neighbours and their distance in Å.
Space group Cmme (No. 67)
Asymmetric unit:
1 K 0.0000 0.2500 0.1616  4 O 2.67-2.68
2 K 0.2500 0.0000 0.5000  6 O 2.61-2.83
3 Li 0.2500 0.0000 0.0000  4 O 2.12
4 Fe 0.0000 0.2500 0.6817  4 O 1.86-1.91
5 O 0.0000 0.0985 0.8315  1 Fe 1.86
6 O 0.2500 0.2500 0.5000  2 Fe 1.91

- Magnetic moment: 5.0 μB/f.u.
- Volume: 14.55 Å³ per atom
- Raw formation energy: -1.445 eV per atom
- D(E_F): 1.5 states/eV/f.u.

=====

Computed, not measured: an optimized crystal structure of KMg2Fe at the GGA-PBEsol level of DFT.

a b c (Å): 3.1477 3.1477 9.5587
angles (deg): 90.00 90.00 90.00
Last column: nearest neighbours and their distance in Å.
Space group P4mm (No. 99)
Asymmetric unit:
1 K 0.0000 0.0000 0.0000  4 K 3.15, 4 Fe 3.44
2 Mg 0.0000 0.0000 0.5674  4 Fe 2.69
3 Mg 0.5000 0.5000 0.3319  8 Mg 3.15-3.17
4 Fe 0.5000 0.5000 0.7259  4 Mg 2.69

- Magnetic moment: 2.6 μB/f.u.
- Volume: 23.68 Å³ per atom
- ΔH_f (0 K): 589 meV/atom
- D(E_F): 2.4 states/eV/f.u.

=====

Computed, not measured: an optimized crystal structure of KMgFe at the GGA-PBEsol level of DFT.

a b c (Å): 5.2941 5.2941 2.8241
angles (deg): 90.00 90.00 120.00
Last column: nearest neighbours and their distance in Å.
Space group P3m1 (No. 156)
Asymmetric unit:
1 K 0.0000 0.0000 0.0000  2 K 2.82, 3 Fe 3.15
2 Mg 0.3333 0.6667 0.3593  2 Mg 2.82
3 Fe 0.6667 0.3333 0.7335  2 Fe 2.82, 3 K 3.15

- Magnetic moment: 2.7 μB/f.u.
- Volume: 22.85 Å³ per atom
- ΔH_f (0 K): 997 meV/atom
- D(E_F): 4.4 states/eV/f.u.

=====

Computed, not measured: an optimized crystal structure of KMgFe at the GGA-PBEsol level of DFT.

a b c (Å): 2.9225 4.2725 12.3157
angles (deg): 90.00 90.00 90.00
Last column: nearest neighbours and their distance in Å.
Space group Imm2 (No. 44)
Asymmetric unit:
1 K 0.0000 0.0000 0.0000  2 K 2.92
2 Mg 0.0000 0.0000 0.7233  4 Fe 2.70, 2 Mg 2.92
3 Fe 0.0000 0.0000 0.2864  4 Mg 2.70, 2 Fe 2.92

- Magnetic moment: 2.4 μB/f.u.
- Volume: 25.63 Å³ per atom
- ΔH_f (0 K): 798 meV/atom
- D(E_F): 4.5 states/eV/f.u.

=====

Computed, not measured: an optimized crystal structure of K2MnFe at the GGA-PBEsol level of DFT.

a b c (Å): 7.4667 7.4667 7.4667
angles (deg): 90.00 90.00 90.00
Last column: nearest neighbours and their distance in Å.
Space group F-43m (No. 216)
Asymmetric unit:
1 K 0.0000 0.0000 0.0000  4 Fe 3.23, 4 K 3.23
2 K 0.2500 0.2500 0.2500  4 Mn 3.23, 4 K 3.23
3 Mn 0.0000 0.0000 0.5000  4 Fe 3.23, 4 K 3.23
4 Fe 0.2500 0.2500 0.7500  4 Mn 3.23, 4 K 3.23

- Magnetic moment: 6.9 μB/f.u.
- Volume: 26.02 Å³ per atom
- ΔH_f (0 K): 1412 meV/atom
- D(E_F): 9.2 states/eV/f.u.

=====

Computed, not measured: an optimized crystal structure of K3MnFe at the GGA-PBEsol level of DFT.

a b c (Å): 6.0980 6.0980 6.0980
angles (deg): 90.00 90.00 90.00
Last column: nearest neighbours and their distance in Å.
Space group Pm-3m (No. 221)
Asymmetric unit:
1 K 0.0000 0.0000 0.5000  2 Fe 3.05
2 Mn 0.5000 0.5000 0.5000  12 K 4.31
3 Fe 0.0000 0.0000 0.0000  6 K 3.05

- Magnetic moment: 6.8 μB/f.u.
- Volume: 45.35 Å³ per atom
- ΔH_f (0 K): 1481 meV/atom
- D(E_F): 12.4 states/eV/f.u.

=====

Computed, not measured: an optimized crystal structure of KMnFe2 at the GGA-PBEsol level of DFT.

a b c (Å): 3.9341 3.9341 4.1484
angles (deg): 90.00 90.00 90.00
Last column: nearest neighbours and their distance in Å.
Space group P4/mmm (No. 123)
Asymmetric unit:
1 K 0.0000 0.0000 0.0000  4 Mn 2.78, 8 Fe 2.86
2 Mn 0.5000 0.5000 0.0000  4 K 2.78, 8 Fe 2.86
3 Fe 0.0000 0.5000 0.5000  4 Fe 2.78, 4 Mn 2.86, 4 K 2.86

- Magnetic moment: 9.2 μB/f.u.
- Volume: 16.05 Å³ per atom
- ΔH_f (0 K): 1488 meV/atom
- D(E_F): 3.2 states/eV/f.u.

=====

Computed, not measured: an optimized crystal structure of KMnFe2 at the GGA-PBEsol level of DFT.

a b c (Å): 2.9933 2.9933 7.6018
angles (deg): 90.00 90.00 90.00
Last column: nearest neighbours and their distance in Å.
Space group P4/mmm (No. 123)
Asymmetric unit:
1 K 0.0000 0.0000 0.0000  4 K 2.99
2 Mn 0.0000 0.0000 0.5000  8 Fe 2.39
3 Fe 0.5000 0.5000 0.3534  1 Fe 2.23, 4 Mn 2.39

- Magnetic moment: 6.0 μB/f.u.
- Volume: 17.03 Å³ per atom
- ΔH_f (0 K): 843 meV/atom
- D(E_F): 3.2 states/eV/f.u.

=====

Computed, not measured: an optimized crystal structure of K2MnFe at the GGA-PBEsol level of DFT.

a b c (Å): 2.9947 5.5937 5.8542
angles (deg): 90.00 90.00 90.00
Last column: nearest neighbours and their distance in Å.
Space group Pmmm (No. 47)
Asymmetric unit:
1 K 0.0000 0.0000 0.2463  4 K 2.88-2.99
2 Mn 0.5000 0.5000 0.5000  2 Fe 2.93, 2 Mn 2.99
3 Fe 0.5000 0.5000 0.0000  2 Mn 2.93, 2 Fe 2.99

- Magnetic moment: 6.7 μB/f.u.
- Volume: 24.52 Å³ per atom
- ΔH_f (0 K): 1451 meV/atom
- D(E_F): 6.7 states/eV/f.u.

=====

Computed, not measured: an optimized crystal structure of KMn2FeOs at the GGA-PBEsol level of DFT.

a b c (Å): 4.8732 4.8732 4.6225
angles (deg): 90.00 90.00 90.00
Last column: nearest neighbours and their distance in Å.
Space group P4/mmm (No. 123)
Asymmetric unit:
1 K 0.0000 0.0000 0.0000  8 Mn 3.36, 4 Fe 3.45
2 Mn 0.0000 0.5000 0.5000  2 Os 2.44
3 Fe 0.5000 0.5000 0.0000  2 Os 2.31
4 Os 0.5000 0.5000 0.5000  2 Fe 2.31, 4 Mn 2.44

- Magnetic moment: 10.7 μB/f.u.
- Volume: 21.96 Å³ per atom
- ΔH_f (0 K): 1325 meV/atom
- D(E_F): 6.7 states/eV/f.u.

=====

Computed, not measured: an optimized crystal structure of KMnFeSb2 at the GGA-PBEsol level of DFT.

a b c (Å): 5.6238 5.6238 4.4052
angles (deg): 90.00 90.00 90.00
Last column: nearest neighbours and their distance in Å.
Space group P4/mmm (No. 123)
Asymmetric unit:
1 K 0.0000 0.0000 0.0000  2 Fe 2.20
2 Mn 0.5000 0.5000 0.5000  8 Sb 3.57, 4 Fe 3.98
3 Fe 0.0000 0.0000 0.5000  2 K 2.20
4 Sb 0.0000 0.5000 0.0000  2 K 2.81

- Magnetic moment: 7.0 μB/f.u.
- Volume: 27.86 Å³ per atom
- Raw formation energy: 2.041 eV per atom
- D(E_F): 7.8 states/eV/f.u.

=====

Computed, not measured: an optimized crystal structure of KFeMo2 at the GGA-PBEsol level of DFT.

a b c (Å): 4.9511 4.9511 2.6118
angles (deg): 90.00 90.00 90.00
Last column: nearest neighbours and their distance in Å.
Space group P4/mmm (No. 123)
Asymmetric unit:
1 K 0.0000 0.0000 0.0000  2 K 2.61, 8 Mo 2.80
2 Fe 0.5000 0.5000 0.0000  2 Fe 2.61, 8 Mo 2.80
3 Mo 0.0000 0.5000 0.5000  2 Mo 2.61, 4 Fe 2.80, 4 K 2.80

- Magnetic moment: 1.8 μB/f.u.
- Volume: 16.01 Å³ per atom
- ΔH_f (0 K): 1779 meV/atom
- D(E_F): 3.7 states/eV/f.u.

=====

Computed, not measured: an optimized crystal structure of KFeMo2 at the GGA-PBEsol level of DFT.

a b c (Å): 2.6724 2.6724 9.8090
angles (deg): 90.00 90.00 90.00
Last column: nearest neighbours and their distance in Å.
Space group P4/mmm (No. 123)
Asymmetric unit:
1 K 0.0000 0.0000 0.0000  4 K 2.67
2 Fe 0.0000 0.0000 0.5000  8 Mo 2.55, 4 Fe 2.67
3 Mo 0.5000 0.5000 0.3252  4 Fe 2.55, 4 Mo 2.67

- Magnetic moment: 0.0 μB/f.u.
- Volume: 17.51 Å³ per atom
- ΔH_f (0 K): 863 meV/atom
- D(E_F): 3.6 states/eV/f.u.

=====

Computed, not measured: an optimized crystal structure of KFeMo2 at the GGA-PBEsol level of DFT.

a b c (Å): 5.3159 10.1790 2.5677
angles (deg): 90.00 104.41 90.00
Last column: nearest neighbours and their distance in Å.
Space group C2/m (No. 12)
Asymmetric unit:
1 K 0.0000 0.0000 0.0000  2 K 2.57, 2 Fe 2.66
2 Fe 0.0000 0.5000 0.0000  2 Fe 2.57, 2 K 2.66
3 Mo 0.2500 0.2500 0.5000  4 Mo 2.57-2.66

- Magnetic moment: 2.5 μB/f.u.
- Volume: 16.82 Å³ per atom
- ΔH_f (0 K): 1416 meV/atom
- D(E_F): 5.1 states/eV/f.u.

=====

Computed, not measured: an optimized crystal structure of KFeMo at the GGA-PBEsol level of DFT.

a b c (Å): 6.6611 6.6611 6.6611
angles (deg): 90.00 90.00 90.00
Last column: nearest neighbours and their distance in Å.
Space group F-43m (No. 216)
Asymmetric unit:
1 K 0.0000 0.0000 0.0000  4 Mo 2.88, 4 Fe 2.88
2 Fe 0.2500 0.2500 0.2500  4 K 2.88
3 Mo 0.2500 0.2500 0.7500  4 K 2.88

- Magnetic moment: 7.0 μB/f.u.
- Volume: 24.63 Å³ per atom
- ΔH_f (0 K): 3040 meV/atom
- D(E_F): 2.1 states/eV/f.u.

=====

Computed, not measured: an optimized crystal structure of KFeMo2O8 at the GGA-PBEsol level of DFT.

a b c (Å): 5.5364 5.5364 6.9490
angles (deg): 90.00 90.00 120.00
Last column: nearest neighbours and their distance in Å.
Space group P-3m1 (No. 164)
Asymmetric unit:
1 K 0.0000 0.0000 0.0000  6 O 2.83
2 Fe 0.0000 0.0000 0.5000  6 O 1.86
3 Mo 0.3333 0.6667 0.7356  4 O 1.73-1.78
4 O 0.1572 0.3143 0.6560  1 Mo 1.78, 1 Fe 1.86
5 O 0.3333 0.6667 0.9839  1 Mo 1.73

- Magnetic moment: 1.0 μB/f.u.
- Volume: 15.37 Å³ per atom
- Raw formation energy: -1.833 eV per atom
- D(E_F): 5.9 states/eV/f.u.